Entry 1:
12
Lattice="3.493 0.000 0.000 -1.747 3.025 0.000 0.000 0.000 37.008" Properties=species:S:1:pos:R:3 comment="CeTh2Pb | Alexandria | PBE-GGA | optimized geometry" formation_energy_ev_per_fu=0.75 e_above_lowest_polymorph_mev_per_atom=375 e_tot_ev_per_cell=-71.209 pbc="T T T"
Ce 0.000 0.000 0.000
Ce 0.000 2.017 24.672
Ce 1.747 1.008 12.336
Th 0.000 0.000 15.187
Th 0.000 0.000 21.821
Th 0.000 2.017 2.851
Th 0.000 2.017 9.485
Th 1.747 1.008 27.523
Th 1.747 1.008 34.157
Pb 0.000 0.000 18.504
Pb 0.000 2.017 6.168
Pb 1.747 1.008 30.840


Entry 2:
12
Lattice="4.859 0.000 0.000 0.000 16.234 0.000 0.000 0.000 4.493" Properties=species:S:1:pos:R:3 comment="Ce3ThPb2 | Alexandria | PBE-GGA | optimized geometry" formation_energy_ev_per_fu=-1.69 e_tot_ev_per_cell=-68.658 pbc="T T T"
Ce 0.000 0.000 0.000
Ce 0.000 5.163 0.000
Ce 0.000 11.071 0.000
Ce 2.430 2.954 0.000
Ce 2.430 8.117 0.000
Ce 2.430 13.280 0.000
Th 0.000 8.117 2.246
Th 2.430 0.000 2.246
Pb 0.000 2.459 2.246
Pb 0.000 13.774 2.246
Pb 2.430 5.658 2.246
Pb 2.430 10.576 2.246


Entry 3:
18
Lattice="9.650 0.000 0.000 -4.825 8.357 0.000 0.000 0.000 6.679" Properties=species:S:1:pos:R:3 comment="Ce5ThPb3 | Alexandria | PBE-GGA | optimized geometry" formation_energy_ev_per_fu=-2.71 e_tot_ev_per_cell=-101.843 pbc="T T T"
Ce -1.603 2.776 1.670
Ce -3.222 5.581 5.009
Ce 3.205 0.000 1.670
Ce 1.603 2.776 5.009
Ce 0.000 5.571 0.000
Ce 0.000 5.571 3.340
Ce 4.825 2.786 0.000
Ce 4.825 2.786 3.340
Ce 6.444 0.000 5.009
Ce 3.222 5.581 1.670
Th 0.000 0.000 0.000
Th 0.000 0.000 3.340
Pb -1.611 2.790 5.009
Pb -3.214 5.567 1.670
Pb 3.221 0.000 5.009
Pb 1.611 2.790 1.670
Pb 6.429 0.000 1.670
Pb 3.214 5.567 5.009


Entry 4:
12
Lattice="4.311 0.000 0.000 -2.155 3.733 0.000 0.000 0.000 23.461" Properties=species:S:1:pos:R:3 comment="CeTh2Pb | Alexandria | PBE-GGA | optimized geometry" formation_energy_ev_per_fu=1.53 e_above_lowest_polymorph_mev_per_atom=570 e_tot_ev_per_cell=-68.866 pbc="T T T"
Ce 0.000 0.000 0.000
Ce 0.000 2.489 15.641
Ce 2.155 1.244 7.820
Th 0.000 0.000 9.887
Th 0.000 0.000 14.186
Th 0.000 2.489 2.066
Th 0.000 2.489 6.366
Th 2.155 1.244 17.707
Th 2.155 1.244 22.007
Pb 0.000 0.000 19.843
Pb 0.000 2.489 12.023
Pb 2.155 1.244 4.202


Entry 5:
10
Lattice="4.181 0.000 0.000 0.000 4.181 0.000 0.000 0.000 16.987" Properties=species:S:1:pos:R:3 comment="Ce5ThPb4 | Alexandria | PBE-GGA | optimized geometry" formation_energy_ev_per_fu=-2.89 e_tot_ev_per_cell=-54.809 pbc="T T T"
Ce 0.000 0.000 0.000
Ce 0.000 0.000 3.360
Ce 0.000 0.000 6.491
Ce 0.000 0.000 10.497
Ce 0.000 0.000 13.628
Th 2.090 2.090 8.494
Pb 2.090 2.090 1.668
Pb 2.090 2.090 5.068
Pb 2.090 2.090 11.920
Pb 2.090 2.090 15.319


Entry 6:
10
Lattice="5.331 0.000 0.000 -2.665 4.617 0.000 0.000 0.000 12.434" Properties=species:S:1:pos:R:3 comment="CeTh2Pb2 | Alexandria | PBE-GGA | optimized geometry" formation_energy_ev_per_fu=0.04 e_tot_ev_per_cell=-56.305 pbc="T T T"
Ce 0.000 0.000 3.109
Ce 0.000 0.000 9.326
Th 0.000 0.000 0.000
Th 0.000 0.000 6.217
Th 0.000 3.078 3.109
Th 2.665 1.539 9.326
Pb 0.000 3.078 7.655
Pb 0.000 3.078 10.996
Pb 2.665 1.539 1.438
Pb 2.665 1.539 4.779


Entry 7:
16
Lattice="7.871 0.000 0.000 0.000 7.871 0.000 0.000 0.000 7.871" Properties=species:S:1:pos:R:3 comment="CeThPb2 | Alexandria | PBE-GGA | optimized geometry" formation_energy_ev_per_fu=-0.97 e_above_lowest_polymorph_mev_per_atom=104 e_tot_ev_per_cell=-86.944 pbc="T T T"
Ce 0.000 0.000 0.000
Ce 0.000 3.936 3.936
Ce 3.936 0.000 3.936
Ce 3.936 3.936 0.000
Th 0.000 0.000 3.936
Th 0.000 3.936 0.000
Th 3.936 0.000 0.000
Th 3.936 3.936 3.936
Pb 1.968 1.968 1.968
Pb 1.968 1.968 5.903
Pb 1.968 5.903 1.968
Pb 1.968 5.903 5.903
Pb 5.903 1.968 1.968
Pb 5.903 1.968 5.903
Pb 5.903 5.903 1.968
Pb 5.903 5.903 5.903


Entry 8:
12
Lattice="3.528 0.000 0.000 -1.764 3.055 0.000 0.000 0.000 33.480" Properties=species:S:1:pos:R:3 comment="CeThPb2 | Alexandria | PBE-GGA | optimized geometry" formation_energy_ev_per_fu=-0.86 e_above_lowest_polymorph_mev_per_atom=131 e_tot_ev_per_cell=-64.885 pbc="T T T"
Ce 0.000 0.000 0.000
Ce 0.000 2.037 22.320
Ce 1.764 1.018 11.160
Th 0.000 0.000 16.740
Th 0.000 2.037 5.580
Th 1.764 1.018 27.900
Pb 0.000 0.000 8.392
Pb 0.000 0.000 25.088
Pb 0.000 2.037 13.928
Pb 0.000 2.037 30.712
Pb 1.764 1.018 2.768
Pb 1.764 1.018 19.552


What did the seventh record say?
16
Lattice="7.871 0.000 0.000 0.000 7.871 0.000 0.000 0.000 7.871" Properties=species:S:1:pos:R:3 comment="CeThPb2 | Alexandria | PBE-GGA | optimized geometry" formation_energy_ev_per_fu=-0.97 e_above_lowest_polymorph_mev_per_atom=104 e_tot_ev_per_cell=-86.944 pbc="T T T"
Ce 0.000 0.000 0.000
Ce 0.000 3.936 3.936
Ce 3.936 0.000 3.936
Ce 3.936 3.936 0.000
Th 0.000 0.000 3.936
Th 0.000 3.936 0.000
Th 3.936 0.000 0.000
Th 3.936 3.936 3.936
Pb 1.968 1.968 1.968
Pb 1.968 1.968 5.903
Pb 1.968 5.903 1.968
Pb 1.968 5.903 5.903
Pb 5.903 1.968 1.968
Pb 5.903 1.968 5.903
Pb 5.903 5.903 1.968
Pb 5.903 5.903 5.903